The following is a PBE-GGA calculation of a relaxed structure of La3PrTm2P6, from Alexandria via LeMat-Bulk.

Calculated values
ρ	5.9	g/cm3
spin magnetization	0.00	μB per formula unit
uncorrected energy	-6.6316	eV/atom
energy of formation from the pure elements	-1.551	eV/atom
symmetry	No. 12

CIF file:
```
data_La3PrTm2P6
_symmetry_space_group_name_H-M 'P 1'
_symmetry_Int_Tables_number 1
_cell_length_a 7.2020
_cell_length_b 7.2020
_cell_length_c 7.1985
_cell_angle_alpha 99.61
_cell_angle_beta 99.61
_cell_angle_gamma 120.00
loop_
_symmetry_equiv_pos_as_xyz
'x,y,z'
loop_
_atom_site_label
_atom_site_fract_x
_atom_site_fract_y
_atom_site_fract_z
La1 0.1655 0.8345 0.5000
La2 0.8345 0.1655 0.5000
La3 0.5000 0.5000 0.5000
Pr1 0.0000 0.0000 0.0000
Tm1 0.3329 0.6671 0.0000
Tm2 0.6671 0.3329 0.0000
P1 0.9206 0.5790 0.7620
P2 0.7372 0.7372 0.2368
P3 0.0794 0.4210 0.2380
P4 0.5790 0.9206 0.7620
P5 0.2628 0.2628 0.7632
P6 0.4210 0.0794 0.2380
```